(1)
This record from Alexandria describes an optimized crystal structure of LiNd2Sc. The functional is GGA-PBE.

Unit cell a=3.4912 b=3.4912 c=33.5764 alpha=90.00 beta=90.00 gamma=120.00
Space group R3m (No. 160, hexagonal axes)
Unique sites:
Li  0.0000  0.0000  0.0000 (multiplicity 3)
Nd  0.0000  0.0000  0.2479 (multiplicity 3)
Nd  0.0000  0.0000  0.4179 (multiplicity 3)
Sc  0.0000  0.0000  0.8328 (multiplicity 3)

Results
Crystal system: trigonal
Energy of formation: 0.0947 eV per atom
Total magnetization: 0.0 μB/cell
Polymorph energy (0 for the lowest one): 13.4 meV/atom

***

(2)
This record from Alexandria describes an optimized crystal structure of LiNd2Sc. The functional is GGA-PBE.

Unit cell a=3.793 b=3.793 c=8.118 alpha=90.00 beta=90.00 gamma=90.00
Space group P4/mmm (No. 123)
Unique sites:
Li  0.000  0.000  0.000 (multiplicity 1)
Nd  0.500  0.500  0.248 (multiplicity 2)
Sc  0.000  0.000  0.500 (multiplicity 1)

Results
Crystal system: tetragonal
Energy of formation: 0.0812 eV per atom
Total magnetization: 0.0 μB/cell
Polymorph energy (0 for the lowest one): 0.0 meV/atom